No. 1
A relaxed AlTcMo2 crystal. Source: Alexandria via LeMat-Bulk, functional PBE.

Unit cell a=2.8056 b=4.1497 c=5.2568 alpha=90.00 beta=90.00 gamma=90.00
With the nearest neighbours (Å) after each atom.
Element x y z (fractional)
Mo 0.0000 0.0000 0.9903  2 Tc 2.54-2.72, 2 Mo 2.81, 4 Al 2.81
Mo 0.5000 0.5000 0.2537  2 Al 2.60-2.66, 6 Mo 2.81-2.86, 4 Tc 2.84
Tc 0.0000 0.0000 0.5078  6 Mo 2.54-2.84, 4 Al 2.81, 2 Tc 2.81
Al 0.5000 0.5000 0.7481  6 Mo 2.60-2.81, 4 Tc 2.81, 2 Al 2.81

Calculated values
The calculation puts the electronic total energy at -35.8 eV per cell. Its formation enthalpy at 0 K is 1 meV/atom.

---

No. 2
A relaxed Tb6Y5Tm2 crystal. Source: Alexandria via LeMat-Bulk, functional PBE.

Unit cell a=3.5847 b=11.4138 c=20.4583 alpha=90.00 beta=90.00 gamma=90.00
With the nearest neighbours (Å) after each atom.
Element x y z (fractional)
Tb 0.0000 0.1641 0.3832  1 Tm 3.21, 4 Tb 3.41-3.58, 2 Y 3.53
Tb 0.0000 0.8359 0.6168  1 Tm 3.21, 4 Tb 3.41-3.58, 2 Y 3.53
Tb 0.0000 0.6641 0.1168  1 Tm 3.21, 4 Tb 3.41-3.58, 2 Y 3.53
Tb 0.0000 0.3359 0.8832  1 Tm 3.21, 4 Tb 3.41-3.58, 2 Y 3.53
Tb 0.5000 0.4180 0.1519  2 Y 3.24-3.39, 2 Tm 3.30, 6 Tb 3.41-3.58
Tb 0.5000 0.5820 0.8481  2 Y 3.24-3.39, 2 Tm 3.30, 6 Tb 3.41-3.58
Tb 0.5000 0.9180 0.3481  2 Y 3.24-3.39, 2 Tm 3.30, 6 Tb 3.41-3.58
Tb 0.5000 0.0820 0.6519  2 Y 3.24-3.39, 2 Tm 3.30, 6 Tb 3.41-3.58
Tb 0.0000 0.7179 0.4454  5 Tb 3.52-3.76, 8 Y 3.67-3.91
Tb 0.0000 0.2821 0.5546  5 Tb 3.52-3.76, 8 Y 3.67-3.91
Tb 0.0000 0.2179 0.0546  5 Tb 3.52-3.76, 8 Y 3.67-3.91
Tb 0.0000 0.7821 0.9454  5 Tb 3.52-3.76, 8 Y 3.67-3.91
Y 0.5000 0.4376 0.4243  2 Tm 3.40, 4 Y 3.41-3.79, 6 Tb 3.67-3.70
Y 0.5000 0.5624 0.5757  2 Tm 3.40, 4 Y 3.41-3.79, 6 Tb 3.67-3.70
Y 0.5000 0.9376 0.0757  2 Tm 3.40, 4 Y 3.41-3.79, 6 Tb 3.67-3.70
Y 0.5000 0.0624 0.9243  2 Tm 3.40, 4 Y 3.41-3.79, 6 Tb 3.67-3.70
Y 0.5000 0.6465 0.2804  2 Tb 3.39-3.70, 4 Tm 3.49-3.53, 3 Y 3.58-3.79
Y 0.5000 0.3535 0.7196  2 Tb 3.39-3.70, 4 Tm 3.49-3.53, 3 Y 3.58-3.79
Y 0.5000 0.1465 0.2196  2 Tb 3.39-3.70, 4 Tm 3.49-3.53, 3 Y 3.58-3.79
Y 0.5000 0.8535 0.7804  2 Tb 3.39-3.70, 4 Tm 3.49-3.53, 3 Y 3.58-3.79
Y 0.5000 0.5000 0.0000  6 Tb 3.24-3.53, 2 Y 3.58
Y 0.5000 0.0000 0.5000  6 Tb 3.24-3.53, 2 Y 3.58
Tm 0.0000 0.3848 0.2861  3 Tb 3.21-3.30, 6 Y 3.40-3.53, 2 Tm 3.58
Tm 0.0000 0.6152 0.7139  3 Tb 3.21-3.30, 6 Y 3.40-3.53, 2 Tm 3.58
Tm 0.0000 0.8848 0.2139  3 Tb 3.21-3.30, 6 Y 3.40-3.53, 2 Tm 3.58
Tm 0.0000 0.1152 0.7861  3 Tb 3.21-3.30, 6 Y 3.40-3.53, 2 Tm 3.58

Calculated values
The calculation puts the electronic total energy at -136.6 eV per cell. Its formation enthalpy at 0 K is 57 meV/atom.

---

No. 3
A relaxed Co2TcAs crystal. Source: Alexandria via LeMat-Bulk, functional PBE.

Unit cell a=4.9061 b=4.9061 c=4.9061 alpha=145.98 beta=129.39 gamma=62.39
With the nearest neighbours (Å) after each atom.
Element x y z (fractional)
As 0.2500 0.7500 0.5000  4 Co 2.40, 4 Tc 2.54
Co 0.0215 0.0215 0.0000  2 As 2.40, 4 Co 2.57
Co 0.4785 0.4785 0.0000  2 As 2.40, 4 Co 2.57
Tc 0.7500 0.2500 0.5000  4 As 2.54, 8 Co 2.69-2.84

Calculated values
The calculation puts the electronic total energy at -28.9 eV per cell. Its formation enthalpy at 0 K is 82 meV/atom.

---

No. 4
A relaxed CdCuSeN2 crystal. Source: Alexandria via LeMat-Bulk, functional PBE.

Unit cell a=4.1537 b=4.1537 c=5.8519 alpha=90.00 beta=90.00 gamma=90.00
With the nearest neighbours (Å) after each atom.
Element x y z (fractional)
N 0.0000 0.5000 0.0000  2 Cd 2.08
N 0.5000 0.0000 0.0000  2 Cd 2.08
Cu 0.5000 0.5000 0.5000  4 Se 2.94
Se 0.0000 0.0000 0.5000  2 Cd 2.93, 4 Cu 2.94
Cd 0.0000 0.0000 0.0000  4 N 2.08

Calculated values
The formation energy (no corrections) comes out at 1.8342 eV/atom. The calculation puts the electronic total energy at -16.0 eV per cell. The energy relative to the lowest polymorph listed for this composition comes out at 2.829 eV/f.u.

---

No. 5
A relaxed AcZnInIr2 crystal. Source: Alexandria via LeMat-Bulk, functional PBE.

Unit cell a=4.3294 b=4.0781 c=6.7246 alpha=107.65 beta=108.78 gamma=90.00
With the nearest neighbours (Å) after each atom.
Element x y z (fractional)
Ac 0.4598 0.4598 0.9196  6 Ir 3.14-3.36, 4 Zn 3.36
Zn 0.8308 0.8308 0.6616  3 Ir 2.56-2.72, 2 In 2.70
In 0.1970 0.6970 0.3940  2 Zn 2.70, 6 Ir 2.76-2.98
Ir 0.6811 0.1811 0.3622  2 Zn 2.72, 2 Ir 2.73, 4 In 2.98
Ir 0.0434 0.0434 0.0868  1 Zn 2.56, 2 Ir 2.73, 2 In 2.76

Calculated values
The calculation puts the electronic total energy at -27.4 eV per cell. Its formation enthalpy at 0 K is -317 meV/atom.

---

No. 6
A relaxed CsSr2SmI8 crystal. Source: Alexandria via LeMat-Bulk, functional PBE.

Unit cell a=7.8881 b=7.5383 c=10.3181 alpha=89.93 beta=89.96 gamma=89.65
With the nearest neighbours (Å) after each atom.
Element x y z (fractional)
Cs 0.0000 0.0000 0.5000  6 I 3.68-3.76
Sr 0.5001 0.5000 0.7509  6 I 3.27-3.47
Sr 0.4999 0.5000 0.2491  6 I 3.27-3.47
Sm 0.0000 0.0000 0.0000  6 I 3.08-3.20
I 0.1580 0.7550 0.2068  1 Sm 3.08, 1 Sr 3.33
I 0.6732 0.7500 0.9998  1 Sm 3.20, 2 Sr 3.47
I 0.8411 0.2442 0.2065  1 Sm 3.08, 1 Sr 3.33
I 0.8420 0.2450 0.7932  1 Sm 3.08, 1 Sr 3.33
I 0.3268 0.2500 0.0002  1 Sm 3.20, 2 Sr 3.47
I 0.1589 0.7558 0.7935  1 Sm 3.08, 1 Sr 3.33
I 0.6082 0.7382 0.4997  2 Sr 3.27
I 0.3918 0.2618 0.5003  2 Sr 3.27

Calculated values
The formation energy (no corrections) comes out at -1.5332 eV/atom. The calculation puts the electronic total energy at -39.7 eV per cell.

---

No. 7
A relaxed ScC3 crystal. Source: Alexandria via LeMat-Bulk, functional PBE.

Unit cell a=3.8429 b=3.8429 c=3.8429 alpha=60.00 beta=60.00 gamma=60.00
With the nearest neighbours (Å) after each atom.
Element x y z (fractional)
Sc 0.7500 0.7500 0.7500  8 C 2.35
C 0.0000 0.0000 0.0000  4 C 2.35, 4 Sc 2.35
C 0.2500 0.2500 0.2500  8 C 2.35
C 0.5000 0.5000 0.5000  4 Sc 2.35, 4 C 2.35

Calculated values
The calculation puts the electronic total energy at -24.5 eV per cell. Its formation enthalpy at 0 K is 2374 meV/atom. The energy relative to the lowest polymorph listed for this composition comes out at 8.504 eV/f.u.

---

No. 8
A relaxed CeBiI6 crystal. Source: Alexandria via LeMat-Bulk, functional PBE.

Unit cell a=8.0251 b=8.0251 c=7.9547 alpha=92.74 beta=92.74 gamma=119.42
With the nearest neighbours (Å) after each atom.
Element x y z (fractional)
Ce 0.0000 0.0000 0.0000  6 I 3.17
Bi 0.0000 0.0000 0.5000  6 I 3.13
I 0.3029 0.9977 0.2686  1 Bi 3.13, 1 Ce 3.17
I 0.9977 0.3029 0.2686  1 Bi 3.13, 1 Ce 3.17
I 0.0023 0.6971 0.7314  1 Bi 3.13, 1 Ce 3.17
I 0.6971 0.0023 0.7314  1 Bi 3.13, 1 Ce 3.17
I 0.3030 0.3030 0.7749  1 Bi 3.13, 1 Ce 3.17
I 0.6970 0.6970 0.2251  1 Bi 3.13, 1 Ce 3.17

Calculated values
The formation energy (no corrections) comes out at -0.8761 eV/atom. The calculation puts the electronic total energy at -26.1 eV per cell.

---

No. 9
A relaxed TaTi2Ni6 crystal. Source: Alexandria via LeMat-Bulk, functional PBE.

Unit cell a=2.6136 b=7.2953 c=7.0727 alpha=121.05 beta=88.90 gamma=90.00
With the nearest neighbours (Å) after each atom.
Element x y z (fractional)
Ta 0.0000 0.0000 0.0000  8 Ni 2.61-2.73, 2 Ta 2.61
Ti 0.0026 0.6547 0.3094  8 Ni 2.55-2.63, 2 Ti 2.61
Ti 0.9974 0.3453 0.6906  8 Ni 2.55-2.63, 2 Ti 2.61
Ni 0.3249 0.3439 0.3485  5 Ni 2.38-2.61, 2 Ti 2.55-2.57, 1 Ta 2.61
Ni 0.6751 0.9954 0.6515  5 Ni 2.38-2.61, 2 Ti 2.55-2.57, 1 Ta 2.61
Ni 0.6751 0.6561 0.6515  5 Ni 2.38-2.61, 2 Ti 2.55-2.57, 1 Ta 2.61
Ni 0.5000 0.3291 0.0000  5 Ni 2.45-2.61, 4 Ti 2.58-2.63, 2 Ta 2.73
Ni 0.3249 0.0046 0.3485  5 Ni 2.38-2.61, 2 Ti 2.55-2.57, 1 Ta 2.61
Ni 0.5000 0.6709 0.0000  5 Ni 2.45-2.61, 4 Ti 2.58-2.63, 2 Ta 2.73

Calculated values
The calculation puts the electronic total energy at -64.3 eV per cell. Its formation enthalpy at 0 K is -216 meV/atom. The energy relative to the lowest polymorph listed for this composition comes out at 0.000 eV/f.u.

---

No. 10
A relaxed KCa2MnBr8 crystal. Source: Alexandria via LeMat-Bulk, functional PBE.

Unit cell a=7.0971 b=6.5708 c=8.7586 alpha=89.99 beta=90.00 gamma=86.95
With the nearest neighbours (Å) after each atom.
Element x y z (fractional)
K 0.0000 0.0000 0.5000  6 Br 3.18-3.19
Ca 0.4999 0.5000 0.7613  6 Br 2.90-3.06
Ca 0.5001 0.5000 0.2387  6 Br 2.90-3.06
Mn 0.0000 0.0000 0.0000  4 Br 2.45
Br 0.1418 0.7739 0.1965  1 Mn 2.45
Br 0.6612 0.7452 0.0000  2 Ca 2.91, 1 Mn 3.00
Br 0.8582 0.2261 0.1966  1 Mn 2.45
Br 0.8582 0.2261 0.8035  1 Mn 2.45
Br 0.3388 0.2548 0.0000  2 Ca 2.91, 1 Mn 3.00
Br 0.1418 0.7739 0.8034  1 Mn 2.45
Br 0.6613 0.7001 0.5000  2 Ca 2.90, 1 K 3.19
Br 0.3387 0.2999 0.5000  2 Ca 2.90, 1 K 3.19

Calculated values
The formation energy (no corrections) comes out at -1.4654 eV/atom. The calculation puts the electronic total energy at -45.2 eV per cell.

---

No. 11
A relaxed CePa3Sb4 crystal. Source: Alexandria via LeMat-Bulk, functional PBE.

Unit cell a=7.5942 b=7.6072 c=8.7869 alpha=90.00 beta=90.00 gamma=109.52
With the nearest neighbours (Å) after each atom.
Element x y z (fractional)
Sb 0.0017 0.2517 0.6237  5 Pa 3.08-3.10, 1 Ce 3.12
Sb 0.5001 0.2541 0.8728  4 Pa 3.08-3.11, 2 Ce 3.13
Sb 0.5017 0.2517 0.3763  5 Pa 3.08-3.10, 1 Ce 3.12
Sb 0.0001 0.2541 0.1272  4 Pa 3.08-3.11, 2 Ce 3.13
Sb 0.9999 0.7459 0.8728  4 Pa 3.08-3.11, 2 Ce 3.13
Sb 0.4983 0.7483 0.6237  5 Pa 3.08-3.10, 1 Ce 3.12
Sb 0.4999 0.7459 0.1272  4 Pa 3.08-3.11, 2 Ce 3.13
Sb 0.9983 0.7483 0.3763  5 Pa 3.08-3.10, 1 Ce 3.12
Pa 0.7500 0.0000 0.3757  6 Sb 3.10-3.11
Pa 0.2500 0.0000 0.6243  6 Sb 3.10-3.11
Pa 0.7500 0.5000 0.6244  6 Sb 3.08-3.10
Pa 0.7500 0.5000 0.1252  6 Sb 3.08-3.11
Pa 0.2500 0.5000 0.3756  6 Sb 3.08-3.10
Pa 0.2500 0.5000 0.8748  6 Sb 3.08-3.11
Ce 0.7500 0.0000 0.8751  6 Sb 3.12-3.13
Ce 0.2500 0.0000 0.1249  6 Sb 3.12-3.13

Calculated values
The formation energy (no corrections) comes out at -0.5837 eV/atom. The calculation puts the electronic total energy at -111.2 eV per cell.

---

No. 12
A relaxed YHo2NpAs4 crystal. Source: Alexandria via LeMat-Bulk, functional PBE.

Unit cell a=4.1007 b=7.1101 c=7.1088 alpha=109.32 beta=90.00 gamma=90.00
With the nearest neighbours (Å) after each atom.
Element x y z (fractional)
Y 0.5000 0.5000 0.0000  6 As 2.91
Ho 0.5000 0.0000 0.5000  6 As 2.89-2.90
Ho 0.0000 0.5000 0.5000  6 As 2.91-2.92
Np 0.0000 0.0000 0.0000  6 As 2.88-2.90
As 0.5000 0.2487 0.2499  3 Ho 2.89-2.91, 2 Np 2.90, 1 Y 2.91
As 0.5000 0.7513 0.7501  3 Ho 2.89-2.91, 2 Np 2.90, 1 Y 2.91
As 0.0000 0.2474 0.7501  1 Np 2.88, 3 Ho 2.90-2.92, 2 Y 2.91
As 0.0000 0.7526 0.2499  1 Np 2.88, 3 Ho 2.90-2.92, 2 Y 2.91

Calculated values
The calculation puts the electronic total energy at -57.7 eV per cell. Its formation enthalpy at 0 K is -1315 meV/atom.